Record 1
A relaxed Mg3Al2Ga3 crystal, computed with PBE-GGA.

It has space group Cmcm (No. 63), with a = 4.405 Å, b = 10.101 Å, c = 14.021 Å, α = 90.00°, β = 90.00° and γ = 90.00°. The distinct sites, in fractional coordinates, are Mg at (0.000, 0.019, 0.250), Mg at (0.000, 0.146, 0.031), Al at (0.000, 0.275, 0.654), Ga at (0.000, 0.306, 0.250) and Ga at (0.000, 0.466, 0.097).

The energy of formation is -0.03 eV/atom. The calculated total energy is -2.6953 eV/atom. Its crystal system is orthorhombic.



Record 2
A relaxed MgAlGa4 crystal, computed with PBE-GGA.

It has space group C2/m (No. 12), with a = 5.180 Å, b = 7.790 Å, c = 5.814 Å, α = 90.00°, β = 105.95° and γ = 90.00°. The distinct sites, in fractional coordinates, are Mg at (0.000, 0.000, 0.000), Al at (0.000, 0.000, 0.500) and Ga at (0.025, 0.323, 0.254).

The energy of formation is -0.01 eV/atom. The calculated total energy is -2.9155 eV/atom. As for the offset from the most stable computed form: 0.04 eV/f.u. Its crystal system is monoclinic.



Record 3
A relaxed MgAl2Ga2 crystal, computed with PBE-GGA.

It has space group C2/m (No. 12), with a = 5.623 Å, b = 8.212 Å, c = 5.221 Å, α = 90.00°, β = 122.58° and γ = 90.00°. The distinct sites, in fractional coordinates, are Mg at (0.000, 0.000, 0.000), Al at (0.000, 0.250, 0.500) and Ga at (0.143, 0.500, 0.287).

The energy of formation is 0.08 eV/atom. The calculated total energy is -2.9493 eV/atom. Its crystal system is monoclinic.